Version i
## NdYZnIr (GGA-PBE)

Data for a geometry-optimized NdYZnIr structure.

Lattice parameters (Å, degrees): 5.0241 5.0241 5.0241 60.00 60.00 60.00
Positions (direct):
Ir: 0.5000 0.5000 0.5000
Y: 0.7500 0.7500 0.7500
Nd: 0.2500 0.2500 0.2500
Zn: 0.0000 0.0000 0.0000

Results
DOS(E_F)	0.633	states/eV per atom
space-group type	F-43m, No. 216

---

Version ii
## NdYZnIr (GGA-PBE)

Data for a geometry-optimized NdYZnIr structure.

Lattice parameters (Å, degrees): 3.9608 4.4116 5.7556 90.00 110.13 90.00
Positions (direct):
Y: 0.8614 0.5000 0.7228
Zn: 0.5679 0.5000 0.1358
Nd: 0.1420 0.0000 0.2841
Ir: 0.4287 0.0000 0.8573

Results
DOS(E_F)	0.792	states/eV per atom
space-group type	Amm2, No. 38

---

Most stable structure among those shown: version ii. Next: +1.0 kJ/mol of atoms.